(1)
The following is a DFT calculation (PBE) of an optimized crystal structure of AcDyHoTe3.

```
data_AcDyHoTe3
_cell_length_a 4.4083
_cell_length_b 8.7235
_cell_length_c 10.9428
_cell_angle_alpha 107.20
_cell_angle_beta 90.00
_cell_angle_gamma 90.00
_symmetry_space_group_name_H-M 'P 1'
_symmetry_Int_Tables_number 1
_symmetry_space_group_name_Hall 'P 1'
loop_
_atom_site_label
_atom_site_type_symbol
_atom_site_fract_x
_atom_site_fract_y
_atom_site_fract_z
Te1 Te 0.7500 0.9028 0.1055
Te2 Te 0.7500 0.4878 0.2018
Te3 Te 0.2500 0.7747 0.5378
Te4 Te 0.2500 0.5122 0.7982
Te5 Te 0.7500 0.2253 0.4622
Te6 Te 0.2500 0.0972 0.8945
Ho1 Ho 0.7500 0.8502 0.3759
Ho2 Ho 0.2500 0.1498 0.6241
Ac1 Ac 0.7500 0.8087 0.7776
Ac2 Ac 0.2500 0.1913 0.2224
Dy1 Dy 0.2500 0.6612 0.0951
Dy2 Dy 0.7500 0.3388 0.9049
```

Results
E_form (uncorrected) = -121.7 kJ per mole of atoms
Volume = 33.5 Å³/atom
Total energy = -5.047 eV per atom

(2)
The following is a DFT calculation (PBE) of an optimized crystal structure of Ti2Ga3Co.

```
data_Ti2Ga3Co
_cell_length_a 2.9119
_cell_length_b 4.2019
_cell_length_c 7.2730
_cell_angle_alpha 90.00
_cell_angle_beta 90.00
_cell_angle_gamma 90.00
_symmetry_space_group_name_H-M 'P 1'
_symmetry_Int_Tables_number 1
_symmetry_space_group_name_Hall 'P 1'
loop_
_atom_site_label
_atom_site_type_symbol
_atom_site_fract_x
_atom_site_fract_y
_atom_site_fract_z
Co1 Co 0.5000 0.5000 0.3295
Ga1 Ga 0.5000 0.0000 0.1766
Ga2 Ga 0.5000 0.0000 0.8349
Ga3 Ga 0.5000 0.5000 0.6532
Ti1 Ti 0.0000 0.0000 0.4920
Ti2 Ti 0.0000 0.5000 0.0138
```

Results
Volume = 14.8 Å³/atom
Total energy = -5.701 eV per atom
Formation enthalpy at 0 K = -0.372 eV/atom

(3)
The following is a DFT calculation (PBE) of an optimized crystal structure of Hg2WBr.

```
data_Hg2WBr
_cell_length_a 3.2256
_cell_length_b 3.2256
_cell_length_c 11.1969
_cell_angle_alpha 90.00
_cell_angle_beta 90.00
_cell_angle_gamma 124.40
_symmetry_space_group_name_H-M 'P 1'
_symmetry_Int_Tables_number 1
_symmetry_space_group_name_Hall 'P 1'
loop_
_atom_site_label
_atom_site_type_symbol
_atom_site_fract_x
_atom_site_fract_y
_atom_site_fract_z
W1 W 0.0000 0.0000 0.5044
Hg1 Hg 0.5000 0.5000 0.2845
Hg2 Hg 0.0000 0.0000 0.0240
Br1 Br 0.5000 0.5000 0.6871
```

Results
E_form (uncorrected) = 53.5 kJ per mole of atoms
E above lowest polymorph = 58 meV per atom
Volume = 24.0 Å³/atom
Total energy = -3.253 eV per atom

(4)
The following is a DFT calculation (PBE) of an optimized crystal structure of TmGePd2.

```
data_TmGePd2
_cell_length_a 4.1786
_cell_length_b 3.3565
_cell_length_c 5.5224
_cell_angle_alpha 90.06
_cell_angle_beta 90.00
_cell_angle_gamma 90.00
_symmetry_space_group_name_H-M 'P 1'
_symmetry_Int_Tables_number 1
_symmetry_space_group_name_Hall 'P 1'
loop_
_atom_site_label
_atom_site_type_symbol
_atom_site_fract_x
_atom_site_fract_y
_atom_site_fract_z
Pd1 Pd 0.0000 0.0006 0.2467
Pd2 Pd 0.0000 0.9994 0.7533
Tm1 Tm 0.5000 0.5000 0.0000
Ge1 Ge 0.5000 0.0000 0.5000
```

Results
Volume = 19.4 Å³/atom
Total energy = -5.567 eV per atom
Formation enthalpy at 0 K = -0.699 eV/atom